# 1
# GdP SCAN PBEsol geometry
data_GdP
_cell_length_a 3.995
_cell_length_b 3.995
_cell_length_c 3.995
_cell_angle_alpha 60.00
_cell_angle_beta 60.00
_cell_angle_gamma 60.00
_symmetry_space_group_name_H-M 'P 1'
_symmetry_Int_Tables_number 1
_symmetry_space_group_name_Hall 'P 1'
loop_
_atom_site_label
_atom_site_type_symbol
_atom_site_fract_x
_atom_site_fract_y
_atom_site_fract_z
Gd1 Gd 0.000 0.000 0.000
P1 P 0.500 0.500 0.500
# Space group: No. 225
# DFT formation energy in kcal/mol of atoms: -39.70
# Total moment in μB/f.u.: 7.0

# 2
# Bi2TeIClO8 SCAN PBEsol geometry
data_Bi2TeIClO8
_cell_length_a 11.218
_cell_length_b 11.218
_cell_length_c 15.035
_cell_angle_alpha 103.87
_cell_angle_beta 103.87
_cell_angle_gamma 27.37
_symmetry_space_group_name_H-M 'P 1'
_symmetry_Int_Tables_number 1
_symmetry_space_group_name_Hall 'P 1'
loop_
_atom_site_label
_atom_site_type_symbol
_atom_site_fract_x
_atom_site_fract_y
_atom_site_fract_z
Bi1 Bi 0.117 0.883 0.500
Bi2 Bi 0.171 0.765 0.241
Bi3 Bi 0.485 0.923 0.348
Bi4 Bi 0.550 0.792 0.085
Bi5 Bi 0.765 0.171 0.741
Bi6 Bi 0.792 0.550 0.585
Bi7 Bi 0.883 0.117 0.000
Bi8 Bi 0.923 0.485 0.848
Te1 Te 0.288 0.930 0.703
Te2 Te 0.387 0.746 0.878
Te3 Te 0.746 0.387 0.378
Te4 Te 0.930 0.288 0.203
I1 I 0.056 0.566 0.301
I2 I 0.144 0.543 0.603
I3 I 0.543 0.144 0.103
I4 I 0.566 0.056 0.801
Cl1 Cl 0.122 0.336 0.034
Cl2 Cl 0.336 0.122 0.534
Cl3 Cl 0.371 0.518 0.042
Cl4 Cl 0.518 0.371 0.542
O1 O 0.022 0.046 0.658
O2 O 0.046 0.022 0.158
O3 O 0.062 0.171 0.330
O4 O 0.073 0.257 0.695
O5 O 0.077 0.714 0.345
O6 O 0.106 0.879 0.845
O7 O 0.171 0.062 0.830
O8 O 0.249 0.352 0.849
O9 O 0.250 0.911 0.998
O10 O 0.257 0.073 0.195
O11 O 0.340 0.396 0.197
O12 O 0.352 0.249 0.349
O13 O 0.396 0.340 0.697
O14 O 0.403 0.637 0.390
O15 O 0.413 0.769 0.582
O16 O 0.506 0.615 0.752
O17 O 0.586 0.778 0.733
O18 O 0.615 0.506 0.252
O19 O 0.631 0.662 0.925
O20 O 0.637 0.403 0.890
O21 O 0.661 0.912 0.152
O22 O 0.662 0.631 0.425
O23 O 0.714 0.077 0.845
O24 O 0.722 0.849 0.893
O25 O 0.769 0.413 0.082
O26 O 0.778 0.586 0.233
O27 O 0.837 0.978 0.133
O28 O 0.849 0.722 0.393
O29 O 0.879 0.106 0.345
O30 O 0.911 0.250 0.498
O31 O 0.912 0.661 0.652
O32 O 0.978 0.837 0.633
# Space group: No. 9
# Uncorrected formation energy in eV/f.u.: -12.35
# Total moment in μB/f.u.: 0.0

# 3
# BaTe2Au SCAN PBEsol geometry
data_BaTe2Au
_cell_length_a 4.824
_cell_length_b 4.440
_cell_length_c 6.702
_cell_angle_alpha 90.00
_cell_angle_beta 105.94
_cell_angle_gamma 90.00
_symmetry_space_group_name_H-M 'P 1'
_symmetry_Int_Tables_number 1
_symmetry_space_group_name_Hall 'P 1'
loop_
_atom_site_label
_atom_site_type_symbol
_atom_site_fract_x
_atom_site_fract_y
_atom_site_fract_z
Ba1 Ba 0.000 0.000 0.000
Te1 Te 0.385 0.000 0.554
Te2 Te 0.563 0.500 0.190
Au1 Au 0.414 0.500 0.779
# Space group: No. 6
# Relative energy among the computed polymorphs in meV/atom: 69
# Uncorrected formation energy in eV/f.u.: -3.78
# Total moment in μB/f.u.: 0.0

# 4
# NiW SCAN PBEsol geometry
data_NiW
_cell_length_a 3.605
_cell_length_b 3.605
_cell_length_c 5.305
_cell_angle_alpha 90.00
_cell_angle_beta 90.00
_cell_angle_gamma 120.00
_symmetry_space_group_name_H-M 'P 1'
_symmetry_Int_Tables_number 1
_symmetry_space_group_name_Hall 'P 1'
loop_
_atom_site_label
_atom_site_type_symbol
_atom_site_fract_x
_atom_site_fract_y
_atom_site_fract_z
Ni1 Ni 0.333 0.667 0.250
Ni2 Ni 0.667 0.333 0.750
W1 W 0.000 0.000 0.000
W2 W 0.000 0.000 0.500
# Space group: No. 194
# DFT formation energy in kcal/mol of atoms: 21.92
# Total moment in μB/f.u.: 0.0

# 5
# SbTeClO3 SCAN PBEsol geometry
data_SbTeClO3
_cell_length_a 11.315
_cell_length_b 5.367
_cell_length_c 6.994
_cell_angle_alpha 90.00
_cell_angle_beta 90.00
_cell_angle_gamma 90.00
_symmetry_space_group_name_H-M 'P 1'
_symmetry_Int_Tables_number 1
_symmetry_space_group_name_Hall 'P 1'
loop_
_atom_site_label
_atom_site_type_symbol
_atom_site_fract_x
_atom_site_fract_y
_atom_site_fract_z
Sb1 Sb 0.243 0.250 0.078
Sb2 Sb 0.257 0.750 0.578
Sb3 Sb 0.743 0.250 0.422
Sb4 Sb 0.757 0.750 0.922
Te1 Te 0.065 0.750 0.174
Te2 Te 0.435 0.250 0.674
Te3 Te 0.565 0.750 0.326
Te4 Te 0.935 0.250 0.826
Cl1 Cl 0.073 0.250 0.394
Cl2 Cl 0.427 0.750 0.894
Cl3 Cl 0.573 0.250 0.106
Cl4 Cl 0.927 0.750 0.606
O1 O 0.121 0.502 0.994
O2 O 0.121 0.998 0.994
O3 O 0.219 0.750 0.292
O4 O 0.281 0.250 0.792
O5 O 0.379 0.002 0.494
O6 O 0.379 0.498 0.494
O7 O 0.621 0.502 0.506
O8 O 0.621 0.998 0.506
O9 O 0.719 0.750 0.208
O10 O 0.781 0.250 0.708
O11 O 0.879 0.002 0.006
O12 O 0.879 0.498 0.006
# Space group: No. 62
# Uncorrected formation energy in eV/f.u.: -7.12
# Total moment in μB/f.u.: 0.0

# 6
# LaY3Cd SCAN PBEsol geometry
data_LaY3Cd
_cell_length_a 5.605
_cell_length_b 5.605
_cell_length_c 5.605
_cell_angle_alpha 90.00
_cell_angle_beta 90.00
_cell_angle_gamma 90.00
_symmetry_space_group_name_H-M 'P 1'
_symmetry_Int_Tables_number 1
_symmetry_space_group_name_Hall 'P 1'
loop_
_atom_site_label
_atom_site_type_symbol
_atom_site_fract_x
_atom_site_fract_y
_atom_site_fract_z
La1 La 0.000 0.000 0.000
Y1 Y 0.000 0.500 0.500
Y2 Y 0.500 0.000 0.500
Y3 Y 0.500 0.500 0.000
Cd1 Cd 0.500 0.500 0.500
# Space group: No. 221
# DFT formation energy in kcal/mol of atoms: 4.31
# Total moment in μB/f.u.: 0.0